Entry from the Alexandria database: a relaxed ScTiN2 crystal (PBE-GGA).

Computed properties:
Formation energy from raw total energies: -1.59 eV per atom
E: -9.313 eV/atom

Geometry as CIF:
```
data_ScTiN2
_chemical_formula_sum 'Sc3 Ti3 N6'
_cell_length_a 3.0433
_cell_length_b 3.0433
_cell_length_c 15.9796
_cell_angle_alpha 90.00
_cell_angle_beta 90.00
_cell_angle_gamma 120.00
_symmetry_space_group_name_H-M 'R 3 m'
_symmetry_Int_Tables_number 160
_symmetry_space_group_name_Hall 'R 3 -2"'
loop_
_atom_site_label
_atom_site_type_symbol
_atom_site_fract_x
_atom_site_fract_y
_atom_site_fract_z
_atom_site_occupancy
Sc1 Sc 0.0000 0.0000 0.0000 1
Ti1 Ti 0.0000 0.0000 0.1733 1
N1 N 0.0000 0.0000 0.4241 1
N2 N 0.0000 0.0000 0.5861 1
```